Computed, not measured: a PBEsol-optimized structure of LaPW2 at the SCAN level of DFT.

```
data_LaPW2
_cell_length_a 3.3873
_cell_length_b 4.4667
_cell_length_c 4.9252
_cell_angle_alpha 90.00
_cell_angle_beta 90.00
_cell_angle_gamma 90.00
_symmetry_space_group_name_H-M 'P 1'
_symmetry_Int_Tables_number 1
_symmetry_space_group_name_Hall 'P 1'
loop_
_atom_site_label
_atom_site_type_symbol
_atom_site_fract_x
_atom_site_fract_y
_atom_site_fract_z
La1 La 0.5000 0.0000 0.5000
W1 W 0.5000 0.5000 0.0000
W2 W 0.0000 0.0000 0.0000
P1 P 0.0000 0.5000 0.5000
```

density	12.0	Mg/m³
polymorph energy (0 for the lowest one)	399	meV/atom
ΔE_f	0.70	eV/atom